# AcB2Rh6

A geometry-optimized AcB2Rh6 structure (GGA-PBE, Alexandria via LeMat-Bulk).

extended XYZ file:
```
18
Lattice="0.000 5.354 5.354 5.354 0.000 5.354 5.354 5.354 0.000" Properties=species:S:1:pos:R:3 pbc="T T T"
Ac 1.339 1.339 1.339
Ac 9.370 9.370 9.370
B 5.354 2.677 2.677
B 2.677 5.354 2.677
B 2.677 2.677 5.354
B 5.354 5.354 5.354
Rh 4.016 4.016 1.895
Rh 4.016 1.895 4.016
Rh 6.136 4.016 4.016
Rh 6.693 6.693 4.572
Rh 6.693 4.572 6.693
Rh 8.814 6.693 6.693
Rh 1.895 4.016 4.016
Rh 4.016 6.136 4.016
Rh 4.016 4.016 6.136
Rh 4.572 6.693 6.693
Rh 6.693 8.814 6.693
Rh 6.693 6.693 8.814
```

Computed properties:
As for the crystal system: cubic. For the volume, the calculation gives 153.5 Å³/f.u. The formation energy is -0.17 eV/atom. The density comes out at 9.370 g/cm3. As for the uncorrected energy: -7.015 eV/atom.